Record 1
Crystalline BaAlBr at its relaxed geometry, computed with PBE.

Geometry as extended XYZ:
```
3
Lattice="6.3617 0.0092 0.0111 3.1564 5.5234 -0.0111 -4.7701 -2.7473 3.1890" Properties=species:S:1:pos:R:3 pbc="T T T"
Br 2.7017 1.5704 0.0000
Ba 6.5252 3.7929 0.0000
Al 0.2912 0.1693 0.0000
```

Properties
SG = Imm2, No. 44
Raw total energy = -2.96 eV per atom
Formation energy without anion corrections = -516 meV/atom
Calculated volume = 112 Å³/f.u.

***

Record 2
Crystalline BaAlBr3 at its relaxed geometry, computed with PBE.

Geometry as extended XYZ:
```
5
Lattice="-0.0520 -5.3447 -3.3170 6.0594 0.8480 -1.4613 1.6888 -3.2072 5.1413" Properties=species:S:1:pos:R:3 pbc="T T T"
Ba 0.0000 0.0000 0.0000
Br -0.0260 -2.6724 -1.6585
Br 0.8444 -1.6036 2.5707
Br 3.0297 0.4240 -0.7307
Al 3.8481 -3.8520 0.1815
```

Properties
SG = Pm-3m, No. 221
Raw total energy = -3.21 eV per atom
Formation energy without anion corrections = -1071 meV/atom
Calculated volume = 249 Å³/f.u.

***

Record 3
Crystalline BaAlBr at its relaxed geometry, computed with PBE.

Geometry as extended XYZ:
```
3
Lattice="-2.6657 2.5844 -3.7610 -2.1370 -0.6347 4.7917 1.6959 3.5305 1.2240" Properties=species:S:1:pos:R:3 pbc="T T T"
Br -0.8997 3.3810 2.9610
Ba -1.9244 2.6878 -0.5022
Al 1.4132 2.9419 1.0199
```

Properties
SG = P-6m2, No. 187
Raw total energy = -2.93 eV per atom
Formation energy without anion corrections = -482 meV/atom
Calculated volume = 99 Å³/f.u.

***

Record 4
Crystalline BaAlBr2 at its relaxed geometry, computed with PBE.

Geometry as extended XYZ:
```
4
Lattice="5.4911 0.0000 0.0000 0.0000 4.0128 0.0659 0.0000 2.8030 6.1039" Properties=species:S:1:pos:R:3 pbc="T T T"
Ba 2.7456 4.6547 4.8047
Br 2.7456 2.5963 2.0579
Br 0.0000 6.5762 5.9940
Al 0.0000 3.2121 2.5679
```

Properties
SG = Pm, No. 6
Raw total energy = -3.19 eV per atom
Formation energy without anion corrections = -934 meV/atom
Calculated volume = 133 Å³/f.u.

***

Record 5
Crystalline Ba3AlBr at its relaxed geometry, computed with PBE.

Geometry as extended XYZ:
```
5
Lattice="6.1993 0.0000 0.0000 0.0000 6.1993 0.0000 0.0000 0.0000 6.1993" Properties=species:S:1:pos:R:3 pbc="T T T"
Ba 3.0997 0.0000 0.0000
Ba 0.0000 3.0997 0.0000
Ba 0.0000 0.0000 3.0997
Al 3.0997 3.0997 3.0997
Br 0.0000 0.0000 0.0000
```

Properties
SG = Pm-3m, No. 221
Raw total energy = -2.59 eV per atom
Formation energy without anion corrections = -357 meV/atom
Calculated volume = 238 Å³/f.u.

***

Record 6
Crystalline BaAlBr2 at its relaxed geometry, computed with PBE.

Geometry as extended XYZ:
```
4
Lattice="-3.0106 -4.2478 -9.1874 1.5168 -3.1970 -9.9496 0.3673 -7.1876 -7.7279" Properties=species:S:1:pos:R:3 pbc="T T T"
Br -0.5329 -6.9227 -12.7101
Ba -0.8448 -10.9743 -20.1487
Al -0.2816 -3.6581 -6.7162
Br -0.0303 -0.3934 -0.7224
```

Properties
SG = R-3m, No. 166
Raw total energy = -3.16 eV per atom
Formation energy without anion corrections = -905 meV/atom
Calculated volume = 196 Å³/f.u.

***

Record 7
Crystalline BaAlBr at its relaxed geometry, computed with PBE.

Geometry as extended XYZ:
```
3
Lattice="5.6758 0.0000 0.0000 2.8379 4.9154 0.0000 2.8379 1.6385 4.6342" Properties=species:S:1:pos:R:3 pbc="T T T"
Br 0.0000 0.0000 0.0000
Ba 8.5136 4.9154 3.4757
Al 5.6758 3.2769 2.3171
```

Properties
SG = F-43m, No. 216
Raw total energy = -2.71 eV per atom
Formation energy without anion corrections = -263 meV/atom
Calculated volume = 129 Å³/f.u.

***

Record 8
Crystalline BaAlBr2 at its relaxed geometry, computed with PBE.

Geometry as extended XYZ:
```
4
Lattice="5.6979 0.0000 0.0000 2.8489 4.9345 0.0000 2.8489 1.6448 4.6523" Properties=species:S:1:pos:R:3 pbc="T T T"
Br 2.8489 1.6448 1.1631
Al 5.6979 3.2897 2.3262
Ba 8.5468 4.9345 3.4892
Br 0.0000 0.0000 0.0000
```

Properties
SG = F-43m, No. 216
Raw total energy = -2.90 eV per atom
Formation energy without anion corrections = -650 meV/atom
Calculated volume = 131 Å³/f.u.

***

Record 9
Crystalline BaAlBr2 at its relaxed geometry, computed with PBE.

Geometry as extended XYZ:
```
4
Lattice="-1.3094 4.2288 5.5381 0.7891 -0.1413 7.0445 3.6783 3.4775 4.9643" Properties=species:S:1:pos:R:3 pbc="T T T"
Br 0.6018 1.4416 3.3437
Br 0.0056 0.0133 0.0309
Al 1.7656 4.2296 9.8104
Ba 2.3641 5.6631 13.1354
```

Properties
SG = R3m, No. 160
Raw total energy = -3.18 eV per atom
Formation energy without anion corrections = -923 meV/atom
Calculated volume = 144 Å³/f.u.

***

Record 10
Crystalline BaAlBr2 at its relaxed geometry, computed with PBE.

Geometry as extended XYZ:
```
4
Lattice="4.4996 0.0000 0.0000 0.0000 4.5587 0.0000 0.0000 0.0000 6.4625" Properties=species:S:1:pos:R:3 pbc="T T T"
Al 0.0000 0.0000 2.7369
Ba 2.2498 2.2793 5.0619
Br 2.2498 2.2793 1.9269
Br 0.0000 0.0000 6.4304
```

Properties
SG = Pmm2, No. 25
Raw total energy = -3.16 eV per atom
Formation energy without anion corrections = -908 meV/atom
Calculated volume = 133 Å³/f.u.

***

Record 11
Crystalline Ba5Al2Br2 at its relaxed geometry, computed with PBE.

Geometry as extended XYZ:
```
18
Lattice="8.5666 0.0000 3.1096 0.0000 9.1490 0.0000 1.2716 0.0000 9.8516" Properties=species:S:1:pos:R:3 pbc="T T T"
Al 0.9695 3.5411 0.3519
Ba 4.2833 4.5745 1.5548
Al 5.2528 1.0334 1.9067
Ba 3.5088 6.0713 8.1894
Ba 6.3295 3.0777 4.7718
Ba 4.9333 7.6522 4.2650
Br 3.0781 4.5745 4.8749
Ba 0.6500 6.0713 2.7102
Ba 9.1883 3.0777 10.2511
Br 6.7601 4.5745 8.0863
Ba 7.7921 7.6522 9.7442
Br 7.3615 0.0000 6.4297
Al 3.3139 8.1156 1.2029
Br 2.4768 0.0000 6.5315
Ba 4.9050 1.4968 8.6962
Ba 2.0462 1.4968 3.2170
Al 7.5972 5.6079 2.7577
Ba 0.0000 0.0000 0.0000
```

Properties
SG = Cmce, No. 64
Raw total energy = -3.04 eV per atom
Formation energy without anion corrections = -768 meV/atom
Calculated volume = 368 Å³/f.u.

***

Record 12
Crystalline BaAlBr2 at its relaxed geometry, computed with PBE.

Geometry as extended XYZ:
```
4
Lattice="0.0000 4.0056 4.0056 4.0056 0.0000 4.0056 4.0056 4.0056 0.0000" Properties=species:S:1:pos:R:3 pbc="T T T"
Ba 4.0056 4.0056 4.0056
Al 0.0000 0.0000 0.0000
Br 2.0028 2.0028 2.0028
Br 6.0084 6.0084 6.0084
```

Properties
SG = Fm-3m, No. 225
Raw total energy = -3.19 eV per atom
Formation energy without anion corrections = -938 meV/atom
Calculated volume = 129 Å³/f.u.